[1]
A geometry-optimized DyTm2Tl3Se6 structure, computed with GGA-PBE.

Unit cell a=7.192 b=7.192 c=8.140 alpha=98.47 beta=98.47 gamma=120.00
Atoms (fractional coordinates):
Dy: 0.000 0.000 0.000
Tm: 0.333 0.667 0.000
Tm: 0.667 0.333 0.000
Tl: 0.166 0.834 0.500
Tl: 0.500 0.500 0.500
Tl: 0.834 0.166 0.500
Se: 0.067 0.404 0.202
Se: 0.269 0.269 0.798
Se: 0.404 0.067 0.202
Se: 0.596 0.933 0.798
Se: 0.731 0.731 0.202
Se: 0.933 0.596 0.798

Size of the total moment   0.00 μB/f.u.
Formation energy from raw total energies   -1.379 eV/atom
Space-group type   C2/m, No. 12


[2]
A geometry-optimized DyTmTlSe structure, computed with GGA-PBE.

Unit cell a=3.804 b=3.804 c=8.396 alpha=90.00 beta=90.00 gamma=120.00
Atoms (fractional coordinates):
Dy: 0.000 0.000 0.000
Tm: 0.333 0.667 0.566
Tl: 0.667 0.333 0.286
Se: 0.667 0.333 0.780

Size of the total moment   0.00 μB/f.u.
Formation energy from raw total energies   -0.958 eV/atom
Space-group type   P3m1, No. 156


[3]
A geometry-optimized Dy3TmTl3Se8 structure, computed with GGA-PBE.

Unit cell a=9.032 b=9.032 c=9.032 alpha=54.73 beta=54.73 gamma=54.73
Atoms (fractional coordinates):
Dy: 0.000 0.500 0.500
Dy: 0.500 0.000 0.500
Dy: 0.500 0.500 0.000
Tm: 0.000 0.000 0.000
Tl: 0.000 0.000 0.500
Tl: 0.000 0.500 0.000
Tl: 0.500 0.000 0.000
Se: 0.234 0.234 0.738
Se: 0.234 0.738 0.234
Se: 0.262 0.766 0.766
Se: 0.264 0.264 0.264
Se: 0.736 0.736 0.736
Se: 0.738 0.234 0.234
Se: 0.766 0.262 0.766
Se: 0.766 0.766 0.262

Size of the total moment   0.00 μB/f.u.
Formation energy from raw total energies   -1.392 eV/atom
Space-group type   R-3m, No. 166


[4]
A geometry-optimized Dy3TmTl4Se8 structure, computed with GGA-PBE.

Unit cell a=9.148 b=9.148 c=9.148 alpha=54.28 beta=54.28 gamma=54.28
Atoms (fractional coordinates):
Dy: 0.000 0.500 0.500
Dy: 0.500 0.000 0.500
Dy: 0.500 0.500 0.000
Tm: 0.000 0.000 0.000
Tl: 0.000 0.000 0.500
Tl: 0.000 0.500 0.000
Tl: 0.500 0.000 0.000
Tl: 0.500 0.500 0.500
Se: 0.233 0.233 0.737
Se: 0.233 0.737 0.233
Se: 0.263 0.767 0.767
Se: 0.265 0.265 0.265
Se: 0.735 0.735 0.735
Se: 0.737 0.233 0.233
Se: 0.767 0.263 0.767
Se: 0.767 0.767 0.263

Size of the total moment   0.00 μB/f.u.
Formation energy from raw total energies   -1.384 eV/atom
Space-group type   R-3m, No. 166


[5]
A geometry-optimized DyU2Tl2Se6 structure, computed with GGA-PBE.

Unit cell a=7.197 b=7.197 c=8.204 alpha=98.32 beta=98.32 gamma=120.03
Atoms (fractional coordinates):
Dy: 0.000 0.000 0.000
U: 0.334 0.666 0.000
U: 0.666 0.334 0.000
Tl: 0.165 0.835 0.500
Tl: 0.835 0.165 0.500
Se: 0.066 0.402 0.202
Se: 0.267 0.267 0.797
Se: 0.402 0.066 0.202
Se: 0.598 0.934 0.798
Se: 0.733 0.733 0.203
Se: 0.934 0.598 0.798

Size of the total moment   5.00 μB/f.u.
Formation energy from raw total energies   -1.150 eV/atom
Space-group type   C2/m, No. 12


[6]
A geometry-optimized Dy3UTl3Se8 structure, computed with GGA-PBE.

Unit cell a=9.189 b=9.189 c=9.189 alpha=53.84 beta=53.84 gamma=53.84
Atoms (fractional coordinates):
Dy: 0.000 0.500 0.500
Dy: 0.500 0.000 0.500
Dy: 0.500 0.500 0.000
U: 0.000 0.000 0.000
Tl: 0.000 0.000 0.500
Tl: 0.000 0.500 0.000
Tl: 0.500 0.000 0.000
Se: 0.232 0.232 0.737
Se: 0.232 0.737 0.232
Se: 0.263 0.768 0.768
Se: 0.265 0.265 0.265
Se: 0.735 0.735 0.735
Se: 0.737 0.232 0.232
Se: 0.768 0.263 0.768
Se: 0.768 0.768 0.263

Size of the total moment   2.00 μB/f.u.
Formation energy from raw total energies   -1.337 eV/atom
Space-group type   R-3m, No. 166


[7]
A geometry-optimized Dy2UTl2Se6 structure, computed with GGA-PBE.

Unit cell a=7.190 b=7.190 c=8.200 alpha=98.52 beta=98.52 gamma=119.93
Atoms (fractional coordinates):
Dy: 0.167 0.833 0.000
Dy: 0.833 0.167 0.000
U: 0.500 0.500 0.000
Tl: 0.332 0.668 0.500
Tl: 0.668 0.332 0.500
Se: 0.103 0.432 0.798
Se: 0.240 0.240 0.202
Se: 0.432 0.103 0.798
Se: 0.568 0.897 0.202
Se: 0.760 0.760 0.798
Se: 0.897 0.568 0.202

Size of the total moment   2.00 μB/f.u.
Formation energy from raw total energies   -1.318 eV/atom
Space-group type   C2/m, No. 12


[8]
A geometry-optimized DyUTl2Se4 structure, computed with GGA-PBE.

Unit cell a=7.250 b=4.186 c=8.189 alpha=90.00 beta=107.13 gamma=90.00
Atoms (fractional coordinates):
Dy: 0.000 0.000 0.000
U: 0.500 0.500 0.000
Tl: 0.000 0.500 0.500
Tl: 0.500 0.000 0.500
Se: 0.233 0.500 0.204
Se: 0.264 0.000 0.795
Se: 0.736 0.000 0.205
Se: 0.767 0.500 0.796

Size of the total moment   3.00 μB/f.u.
Formation energy from raw total energies   -1.116 eV/atom
Space-group type   P2/m, No. 10


[9]
A geometry-optimized Dy3UTl4Se8 structure, computed with GGA-PBE.

Unit cell a=9.175 b=9.175 c=9.175 alpha=54.34 beta=54.34 gamma=54.34
Atoms (fractional coordinates):
Dy: 0.000 0.500 0.500
Dy: 0.500 0.000 0.500
Dy: 0.500 0.500 0.000
U: 0.000 0.000 0.000
Tl: 0.000 0.000 0.500
Tl: 0.000 0.500 0.000
Tl: 0.500 0.000 0.000
Tl: 0.500 0.500 0.500
Se: 0.236 0.236 0.734
Se: 0.236 0.734 0.236
Se: 0.266 0.266 0.266
Se: 0.266 0.764 0.764
Se: 0.734 0.236 0.236
Se: 0.734 0.734 0.734
Se: 0.764 0.266 0.764
Se: 0.764 0.764 0.266

Size of the total moment   3.01 μB/f.u.
Formation energy from raw total energies   -1.247 eV/atom
Space-group type   R-3m, No. 166


[10]
A geometry-optimized Dy2YTl3Se6 structure, computed with GGA-PBE.

Unit cell a=7.253 b=7.253 c=8.140 alpha=98.54 beta=98.54 gamma=120.00
Atoms (fractional coordinates):
Dy: 0.167 0.833 0.000
Dy: 0.833 0.167 0.000
Y: 0.500 0.500 0.000
Tl: 0.000 0.000 0.500
Tl: 0.333 0.667 0.500
Tl: 0.667 0.333 0.500
Se: 0.098 0.432 0.796
Se: 0.234 0.234 0.204
Se: 0.432 0.098 0.796
Se: 0.568 0.902 0.204
Se: 0.766 0.766 0.796
Se: 0.902 0.568 0.204

Size of the total moment   0.00 μB/f.u.
Formation energy from raw total energies   -1.391 eV/atom
Space-group type   C2/m, No. 12


[11]
A geometry-optimized Dy3YTl3Se8 structure, computed with GGA-PBE.

Unit cell a=9.029 b=9.029 c=9.029 alpha=54.93 beta=54.93 gamma=54.93
Atoms (fractional coordinates):
Dy: 0.000 0.500 0.500
Dy: 0.500 0.000 0.500
Dy: 0.500 0.500 0.000
Y: 0.000 0.000 0.000
Tl: 0.000 0.000 0.500
Tl: 0.000 0.500 0.000
Tl: 0.500 0.000 0.000
Se: 0.236 0.236 0.734
Se: 0.236 0.734 0.236
Se: 0.264 0.264 0.264
Se: 0.266 0.764 0.764
Se: 0.734 0.236 0.236
Se: 0.736 0.736 0.736
Se: 0.764 0.266 0.764
Se: 0.764 0.764 0.266

Size of the total moment   0.00 μB/f.u.
Formation energy from raw total energies   -1.395 eV/atom
Space-group type   R-3m, No. 166


[12]
A geometry-optimized DyY2Tl3Se6 structure, computed with GGA-PBE.

Unit cell a=7.255 b=7.255 c=8.139 alpha=98.55 beta=98.55 gamma=120.00
Atoms (fractional coordinates):
Dy: 0.000 0.000 0.000
Y: 0.333 0.667 0.000
Y: 0.667 0.333 0.000
Tl: 0.167 0.833 0.500
Tl: 0.500 0.500 0.500
Tl: 0.833 0.167 0.500
Se: 0.068 0.401 0.204
Se: 0.265 0.265 0.795
Se: 0.401 0.068 0.204
Se: 0.599 0.932 0.796
Se: 0.735 0.735 0.205
Se: 0.932 0.599 0.796

Size of the total moment   0.00 μB/f.u.
Formation energy from raw total energies   -1.393 eV/atom
Space-group type   C2/m, No. 12


> Number 12 is which compound?

DyY2Tl3Se6